No. 1
ScAg2Rh | PBE | optimized geometry

Calculated values
Symmetry = No. 12

Lattice parameters (Å, degrees): 4.5635 5.7092 3.0969 75.70 86.53 112.54
Closest atoms and distances in Å follow each position.
Element x y z (fractional)
Rh: 0.0000 0.5000 0.5000  4 Sc 2.68-2.83, 4 Ag 2.89
Ag: 0.0000 0.0000 0.0000  4 Ag 2.68-2.83, 2 Rh 2.89, 2 Sc 2.89
Ag: 0.5000 0.0000 0.5000  4 Ag 2.68-2.83, 2 Sc 2.89, 2 Rh 2.89
Sc: 0.5000 0.5000 0.0000  4 Rh 2.68-2.83, 4 Ag 2.89

=====

No. 2
K2NaAg9 | PBE | optimized geometry

Calculated values
Symmetry = No. 166

Lattice parameters (Å, degrees): 5.7462 5.7462 10.2040 73.65 73.65 60.00
Closest atoms and distances in Å follow each position.
Element x y z (fractional)
Ag: 0.9183 0.4201 0.2415  7 Ag 2.84-2.99
Ag: 0.4201 0.4201 0.2415  7 Ag 2.84-2.99
Ag: 0.5799 0.0817 0.7585  7 Ag 2.84-2.99
Ag: 0.6676 0.6676 0.9971  6 Ag 2.84-2.88
Ag: 0.5799 0.5799 0.7585  7 Ag 2.84-2.99
Ag: 0.4201 0.9183 0.2415  7 Ag 2.84-2.99
Ag: 0.5000 0.5000 0.5000  6 Ag 2.99
Ag: 0.0817 0.5799 0.7585  7 Ag 2.84-2.99
Ag: 0.3324 0.3324 0.0029  6 Ag 2.84-2.88
Na: 0.0000 0.0000 0.0000  18 Ag 3.32-3.70
K: 0.1416 0.1416 0.5753  12 Ag 3.37-3.63, 3 K 3.62
K: 0.8584 0.8584 0.4247  12 Ag 3.37-3.63, 3 K 3.62

=====

No. 3
PuUCd | PBE | optimized geometry

Calculated values
Symmetry = No. 107

Lattice parameters (Å, degrees): 3.4569 3.4569 5.9977 106.75 106.75 90.00
Closest atoms and distances in Å follow each position.
Element x y z (fractional)
Pu: 0.2931 0.2931 0.5862  4 U 2.62
U: 0.7071 0.7071 0.4143  4 Pu 2.62
Cd: 0.9998 0.9998 0.9996  5 U 3.21-3.34, 5 Pu 3.21-3.33, 4 Cd 3.46

=====

No. 4
DyHo2Tm9 | PBE | optimized geometry

Calculated values
Symmetry = No. 123

Lattice parameters (Å, degrees): 4.9395 4.9395 14.8119 90.00 90.00 90.00
Closest atoms and distances in Å follow each position.
Element x y z (fractional)
Tm: 0.0000 0.5000 0.1669  2 Ho 3.49, 8 Tm 3.49, 2 Dy 3.49
Tm: 0.5000 0.0000 0.1669  2 Ho 3.49, 8 Tm 3.49, 2 Dy 3.49
Tm: 0.5000 0.5000 0.0000  4 Dy 3.49, 8 Tm 3.49
Tm: 0.5000 0.5000 0.3336  8 Tm 3.49, 4 Ho 3.49
Tm: 0.5000 0.0000 0.8331  2 Ho 3.49, 8 Tm 3.49, 2 Dy 3.49
Tm: 0.0000 0.5000 0.8331  2 Ho 3.49, 8 Tm 3.49, 2 Dy 3.49
Tm: 0.0000 0.5000 0.5000  8 Tm 3.49, 4 Ho 3.49
Tm: 0.5000 0.5000 0.6664  8 Tm 3.49, 4 Ho 3.49
Tm: 0.5000 0.0000 0.5000  8 Tm 3.49, 4 Ho 3.49
Ho: 0.0000 0.0000 0.6666  12 Tm 3.49
Ho: 0.0000 0.0000 0.3334  12 Tm 3.49
Dy: 0.0000 0.0000 0.0000  12 Tm 3.49

=====

No. 5
LaTi2Pd2 | PBE | optimized geometry

Calculated values
Symmetry = No. 139

Lattice parameters (Å, degrees): 4.7180 4.7180 5.8506 66.22 66.22 90.00
Closest atoms and distances in Å follow each position.
Element x y z (fractional)
La: 0.0000 0.0000 0.0000  8 Pd 3.37, 10 Ti 3.47-3.60
Ti: 0.3606 0.3606 0.2789  4 Pd 2.59, 1 Ti 2.68
Ti: 0.6394 0.6394 0.7211  4 Pd 2.59, 1 Ti 2.68
Pd: 0.7500 0.2500 0.5000  4 Ti 2.59
Pd: 0.2500 0.7500 0.5000  4 Ti 2.59

=====

No. 6
NaNb3C | PBE | optimized geometry

Calculated values
Symmetry = No. 221

Lattice parameters (Å, degrees): 4.3943 4.3943 4.3943 90.00 90.00 90.00
Closest atoms and distances in Å follow each position.
Element x y z (fractional)
Nb: 0.0000 0.5000 0.0000  2 C 2.20
Nb: 0.0000 0.0000 0.5000  2 C 2.20
Nb: 0.5000 0.0000 0.0000  2 C 2.20
C: 0.0000 0.0000 0.0000  6 Nb 2.20
Na: 0.5000 0.5000 0.5000  12 Nb 3.11

=====

no.,formation energy from the elements (meV/atom),raw total energy (eV/atom)
1,-182,-5.029
2,1,-2.431
3,228,-8.617
4,26,-4.474
5,-270,-6.490
6,357,-7.793